A plane-wave DFT calculation with PBE was carried out for a geometry-optimized Pr2TlIr structure.

Summary:
N(E_F) = 0.7363 states/eV/atom
Relative energy among the computed polymorphs = 0 meV/atom

a = 3.5845 Å, b = 3.5845 Å, c = 8.4280 Å
α = 90.00°, β = 90.00°, γ = 90.00°
Last column: nearest neighbours and their distance in Å.
Atoms (fractional coordinates):
Pr  0.0000  0.0000  0.7950  4 Ir 3.07
Pr  0.0000  0.0000  0.2050  4 Ir 3.07
Tl  0.5000  0.5000  0.5000  8 Pr 3.55, 4 Tl 3.58
Ir  0.5000  0.5000  0.0000  8 Pr 3.07